# Rb3As2Pb2

Crystalline Rb3As2Pb2 at its relaxed geometry (PBE, the Alexandria database).

a = 7.852 Å, b = 9.021 Å, c = 15.208 Å
α = 90.00°, β = 90.00°, γ = 90.00°
Element x y z (fractional)
Rb: 0.919 0.468 0.880
As: 0.769 0.172 0.750
As: 0.337 0.250 0.000
Pb: 0.640 0.392 0.430
Rb: 0.637 0.803 0.750
Pb: 0.640 0.392 0.070
Pb: 0.360 0.892 0.070
Pb: 0.360 0.608 0.930
Rb: 0.363 0.197 0.250
As: 0.231 0.828 0.250
Rb: 0.919 0.032 0.380
Pb: 0.640 0.108 0.570
Rb: 0.637 0.697 0.250
As: 0.337 0.250 0.500
Rb: 0.081 0.532 0.380
As: 0.663 0.750 0.500
As: 0.663 0.750 0.000
Rb: 0.081 0.968 0.880
Rb: 0.919 0.032 0.120
Rb: 0.081 0.532 0.120
Pb: 0.360 0.608 0.570
Rb: 0.363 0.303 0.750
Rb: 0.919 0.468 0.620
Rb: 0.081 0.968 0.620
Pb: 0.360 0.892 0.430
As: 0.769 0.328 0.250
Pb: 0.640 0.108 0.930
As: 0.231 0.672 0.750

Fermi-level density of states, states/eV per cell: 14.8
Total moment, μB/cell: 0.00
ΔH_f (0 K), meV/atom: -239
Space-group type: Pbcm (57)
Raw total energy, eV/atom: -3.04


# Eu3Pb

Crystalline Eu3Pb at its relaxed geometry (PBE, the Alexandria database).

a = 5.127 Å, b = 5.127 Å, c = 6.353 Å
α = 113.80°, β = 113.80°, γ = 90.00°
Element x y z (fractional)
Eu: 0.250 0.750 0.500
Pb: 0.000 0.000 0.000
Eu: 0.750 0.250 0.500
Eu: 0.500 0.500 0.000

Fermi-level density of states, states/eV per cell: 13.3
Total moment, μB/cell: 7.02
ΔH_f (0 K), meV/atom: -256
Space-group type: I4/mmm (139)
Raw total energy, eV/atom: -8.89


# Si2RhAu

Crystalline Si2RhAu at its relaxed geometry (PBE, the Alexandria database).

a = 4.541 Å, b = 4.541 Å, c = 4.541 Å
α = 126.03°, β = 126.03°, γ = 79.83°
Element x y z (fractional)
Au: 0.250 0.750 0.500
Si: 0.000 0.000 0.000
Si: 0.500 0.500 0.000
Rh: 0.750 0.250 0.500

Fermi-level density of states, states/eV per cell: 1.4
Total moment, μB/cell: 0.00
Excess energy over the best structure of this formula in the dataset, eV/atom: 0.3071
Space-group type: I4/mmm (139)
Raw total energy, eV/atom: -5.34
Energy relative to the elements, uncorrected, eV/atom: 0.024


# YSiHg

Crystalline YSiHg at its relaxed geometry (PBE, the Alexandria database).

a = 4.331 Å, b = 4.331 Å, c = 4.152 Å
α = 90.00°, β = 90.00°, γ = 120.00°
Element x y z (fractional)
Y: 0.333 0.667 0.657
Si: 0.667 0.333 0.241
Hg: 0.000 0.000 0.102

Fermi-level density of states, states/eV per cell: 1.4
Total moment, μB/cell: 0.00
Excess energy over the best structure of this formula in the dataset, eV/atom: 0.1219
Space-group type: P3m1 (156)
Raw total energy, eV/atom: -4.48
Energy relative to the elements, uncorrected, eV/atom: -0.417


# CaCdIn4

Crystalline CaCdIn4 at its relaxed geometry (PBE, the Alexandria database).

a = 5.424 Å, b = 5.424 Å, c = 6.588 Å
α = 90.13°, β = 90.13°, γ = 124.95°
Element x y z (fractional)
In: 0.337 0.161 0.744
In: 0.339 0.163 0.256
Ca: 0.000 0.500 0.000
Cd: 0.000 0.500 0.500
In: 0.663 0.839 0.256
In: 0.661 0.837 0.744

Fermi-level density of states, states/eV per cell: 2.0
Total moment, μB/cell: 0.00
ΔH_f (0 K), meV/atom: -174
Excess energy over the best structure of this formula in the dataset, eV/atom: 0.0000
Space-group type: C2/m (12)
Raw total energy, eV/atom: -2.49


# NpZnHg2O6

Crystalline NpZnHg2O6 at its relaxed geometry (PBE, the Alexandria database).

a = 5.637 Å, b = 5.726 Å, c = 8.216 Å
α = 90.00°, β = 90.49°, γ = 90.00°
Element x y z (fractional)
Hg: 0.503 0.536 0.749
O: 0.199 0.195 0.449
Zn: 0.500 0.000 0.000
O: 0.312 0.701 0.445
O: 0.098 0.454 0.750
O: 0.812 0.799 0.945
Hg: 0.003 0.964 0.249
O: 0.699 0.305 0.949
O: 0.902 0.546 0.250
Np: 0.500 0.000 0.500
Hg: 0.997 0.036 0.751
Zn: 0.000 0.500 0.500
Np: 0.000 0.500 0.000
O: 0.688 0.299 0.555
Hg: 0.497 0.464 0.251
O: 0.188 0.201 0.055
O: 0.598 0.046 0.250
O: 0.801 0.805 0.551
O: 0.301 0.695 0.051
O: 0.402 0.954 0.750

Fermi-level density of states, states/eV per cell: 7.4
Total moment, μB/cell: 1.97
Space-group type: P2_1/c (14)
Raw total energy, eV/atom: -5.87
Energy relative to the elements, uncorrected, eV/atom: -1.417


# ScRhPb2

Crystalline ScRhPb2 at its relaxed geometry (PBE, the Alexandria database).

a = 7.677 Å, b = 4.526 Å, c = 4.222 Å
α = 90.07°, β = 56.53°, γ = 126.22°
Element x y z (fractional)
Pb: 0.500 0.000 0.500
Rh: 0.000 0.500 0.500
Pb: 0.000 0.000 0.000
Sc: 0.500 0.500 0.000

Fermi-level density of states, states/eV per cell: 2.7
Total moment, μB/cell: 0.00
ΔH_f (0 K), meV/atom: -174
Space-group type: C2/m (12)
Raw total energy, eV/atom: -5.45


# Dy12Er6Sc

Crystalline Dy12Er6Sc at its relaxed geometry (PBE, the Alexandria database).

a = 8.440 Å, b = 8.440 Å, c = 8.440 Å
α = 88.51°, β = 88.51°, γ = 88.51°
Element x y z (fractional)
Dy: 0.643 0.987 0.803
Er: 0.906 0.301 0.742
Er: 0.094 0.699 0.258
Dy: 0.357 0.013 0.197
Dy: 0.460 0.564 0.222
Dy: 0.987 0.803 0.643
Er: 0.742 0.906 0.301
Er: 0.258 0.094 0.699
Er: 0.301 0.742 0.906
Dy: 0.013 0.197 0.357
Dy: 0.540 0.436 0.778
Dy: 0.436 0.778 0.540
Dy: 0.222 0.460 0.564
Dy: 0.803 0.643 0.987
Dy: 0.564 0.222 0.460
Er: 0.699 0.258 0.094
Dy: 0.197 0.357 0.013
Sc: 0.000 0.000 0.000
Dy: 0.778 0.540 0.436

Fermi-level density of states, states/eV per cell: 33.8
Total moment, μB/cell: 0.00
ΔH_f (0 K), meV/atom: 157
Excess energy over the best structure of this formula in the dataset, eV/atom: 0.0000
Space-group type: R-3 (148)
Raw total energy, eV/atom: -4.52


# La6GePd3

Crystalline La6GePd3 at its relaxed geometry (PBE, the Alexandria database).

a = 4.313 Å, b = 11.231 Å, c = 12.988 Å
α = 110.42°, β = 90.00°, γ = 90.00°
Element x y z (fractional)
La: 0.250 0.575 0.909
La: 0.750 0.848 0.109
La: 0.750 0.425 0.091
La: 0.250 0.152 0.891
Pd: 0.750 0.098 0.036
Pd: 0.250 0.902 0.964
Pd: 0.750 0.683 0.539
La: 0.250 0.267 0.682
La: 0.250 0.516 0.379
Pd: 0.750 0.365 0.855
La: 0.750 0.484 0.621
La: 0.250 0.886 0.559
Pd: 0.250 0.317 0.461
Ge: 0.250 0.929 0.307
La: 0.750 0.733 0.318
La: 0.750 0.114 0.441
La: 0.250 0.149 0.199
Ge: 0.750 0.071 0.693
La: 0.750 0.851 0.801
Pd: 0.250 0.635 0.145

Fermi-level density of states, states/eV per cell: 23.0
Total moment, μB/cell: 0.07
ΔH_f (0 K), meV/atom: -599
Space-group type: P2_1/m (11)
Raw total energy, eV/atom: -5.58


# AlCr2Fe

Crystalline AlCr2Fe at its relaxed geometry (PBE, the Alexandria database).

a = 2.505 Å, b = 2.505 Å, c = 8.075 Å
α = 90.00°, β = 90.00°, γ = 106.80°
Element x y z (fractional)
Cr: 0.000 0.000 0.492
Cr: 0.000 0.000 0.008
Al: 0.500 0.500 0.750
Fe: 0.500 0.500 0.250

Fermi-level density of states, states/eV per cell: 2.9
Total moment, μB/cell: 1.90
ΔH_f (0 K), meV/atom: 55
Excess energy over the best structure of this formula in the dataset, eV/atom: 0.1959
Space-group type: Cmmm (65)
Raw total energy, eV/atom: -7.81


# PrEr3Sc3

Crystalline PrEr3Sc3 at its relaxed geometry (PBE, the Alexandria database).

a = 8.481 Å, b = 8.481 Å, c = 8.481 Å
α = 58.75°, β = 58.75°, γ = 58.75°
Element x y z (fractional)
Pr: 0.650 0.650 0.650
Er: 0.935 0.274 0.430
Sc: 0.724 0.167 0.937
Sc: 0.063 0.276 0.833
Sc: 0.276 0.833 0.063
Pr: 0.350 0.350 0.350
Er: 0.570 0.065 0.726
Sc: 0.167 0.937 0.724
Sc: 0.833 0.063 0.276
Er: 0.274 0.430 0.935
Er: 0.430 0.935 0.274
Sc: 0.937 0.724 0.167
Er: 0.065 0.726 0.570
Er: 0.726 0.570 0.065

Fermi-level density of states, states/eV per cell: 23.8
Total moment, μB/cell: 0.00
ΔH_f (0 K), meV/atom: 185
Excess energy over the best structure of this formula in the dataset, eV/atom: 0.0000
Space-group type: R-3 (148)
Raw total energy, eV/atom: -5.17


# Na4B7C

Crystalline Na4B7C at its relaxed geometry (PBE, the Alexandria database).

a = 2.935 Å, b = 8.640 Å, c = 10.439 Å
α = 90.00°, β = 90.00°, γ = 90.00°
Element x y z (fractional)
B: 0.500 0.750 0.084
Na: 0.500 0.998 0.750
B: 0.000 0.250 0.831
Na: 0.000 0.997 0.999
B: 0.500 0.250 0.428
Na: 0.500 0.498 0.250
Na: 0.000 0.503 0.999
C: 0.500 0.250 0.909
B: 0.500 0.750 0.582
B: 0.500 0.750 0.414
B: 0.500 0.250 0.600
B: 0.000 0.750 0.667
Na: 0.500 0.502 0.750
B: 0.000 0.750 0.829
B: 0.000 0.750 0.170
Na: 0.000 0.498 0.502
B: 0.000 0.750 0.337
C: 0.000 0.250 0.676
B: 0.000 0.250 0.163
B: 0.500 0.750 0.922
B: 0.500 0.250 0.060
B: 0.000 0.250 0.328
Na: 0.500 0.002 0.250
Na: 0.000 0.002 0.502

Fermi-level density of states, states/eV per cell: 7.7
Total moment, μB/cell: 0.00
ΔH_f (0 K), meV/atom: 243
Excess energy over the best structure of this formula in the dataset, eV/atom: 0.0204
Space-group type: Pmm2 (25)
Raw total energy, eV/atom: -4.86


# Ac2MnCu2Pt5

Crystalline Ac2MnCu2Pt5 at its relaxed geometry (PBE, the Alexandria database).

a = 3.955 Å, b = 9.776 Å, c = 9.776 Å
α = 90.00°, β = 90.00°, γ = 90.00°
Element x y z (fractional)
Pt: 0.500 0.441 0.295
Ac: 0.000 0.681 0.181
Mn: 0.000 0.500 0.500
Pt: 0.500 0.500 0.000
Pt: 0.500 0.795 0.941
Pt: 0.500 0.559 0.705
Mn: 0.000 0.000 0.000
Pt: 0.500 0.000 0.500
Cu: 0.000 0.618 0.882
Pt: 0.500 0.705 0.441
Pt: 0.500 0.295 0.559
Cu: 0.000 0.882 0.382
Cu: 0.000 0.118 0.618
Pt: 0.500 0.941 0.205
Ac: 0.000 0.181 0.319
Ac: 0.000 0.319 0.819
Ac: 0.000 0.819 0.681
Pt: 0.500 0.205 0.059
Pt: 0.500 0.059 0.795
Cu: 0.000 0.382 0.118

Fermi-level density of states, states/eV per cell: 8.7
Total moment, μB/cell: 8.68
ΔH_f (0 K), meV/atom: -629
Space-group type: P4/mbm (127)
Raw total energy, eV/atom: -6.21


# Ag2SCl

Crystalline Ag2SCl at its relaxed geometry (PBE, the Alexandria database).

a = 8.040 Å, b = 9.794 Å, c = 5.105 Å
α = 90.00°, β = 90.00°, γ = 78.89°
Element x y z (fractional)
Cl: 0.124 0.826 0.042
S: 0.568 0.052 0.364
S: 0.432 0.448 0.864
Cl: 0.876 0.174 0.958
Ag: 0.168 0.598 0.728
S: 0.568 0.552 0.136
Cl: 0.876 0.674 0.542
Ag: 0.386 0.252 0.145
S: 0.432 0.948 0.636
Cl: 0.124 0.326 0.458
Ag: 0.168 0.098 0.772
Ag: 0.832 0.402 0.272
Ag: 0.614 0.248 0.645
Ag: 0.614 0.748 0.855
Ag: 0.386 0.752 0.355
Ag: 0.832 0.902 0.228

Total moment, μB/cell: 0.00
Excess energy over the best structure of this formula in the dataset, eV/atom: 0.0000
Space-group type: P2_1/c (14)
Raw total energy, eV/atom: -3.10
Energy relative to the elements, uncorrected, eV/atom: -0.181


# CdTc3S

Crystalline CdTc3S at its relaxed geometry (PBE, the Alexandria database).

a = 5.096 Å, b = 5.096 Å, c = 5.096 Å
α = 90.00°, β = 90.00°, γ = 90.00°
Element x y z (fractional)
Tc: 0.500 0.000 0.000
Cd: 0.000 0.000 0.000
Tc: 0.000 0.000 0.500
S: 0.500 0.500 0.500
Tc: 0.000 0.500 0.000

Fermi-level density of states, states/eV per cell: 5.2
Total moment, μB/cell: 11.00
Excess energy over the best structure of this formula in the dataset, eV/atom: 2.1549
Space-group type: Pm-3m (221)
Raw total energy, eV/atom: -4.67
Energy relative to the elements, uncorrected, eV/atom: 2.562


# La6Zn5Ga

Crystalline La6Zn5Ga at its relaxed geometry (PBE, the Alexandria database).

a = 5.310 Å, b = 7.536 Å, c = 8.411 Å
α = 90.00°, β = 71.60°, γ = 90.00°
Element x y z (fractional)
La: 0.834 0.752 0.332
Ga: 0.000 0.000 0.000
La: 0.500 0.247 0.000
Zn: 0.667 0.500 0.666
La: 0.166 0.248 0.668
Zn: 0.000 0.500 0.000
Zn: 0.669 0.000 0.662
Zn: 0.333 0.500 0.334
La: 0.166 0.752 0.668
Zn: 0.331 0.000 0.338
La: 0.834 0.248 0.332
La: 0.500 0.753 0.000

Fermi-level density of states, states/eV per cell: 13.6
Total moment, μB/cell: 0.00
ΔH_f (0 K), meV/atom: -359
Space-group type: Cmmm (65)
Raw total energy, eV/atom: -3.61


# InBiAu4

Crystalline InBiAu4 at its relaxed geometry (PBE, the Alexandria database).

a = 6.451 Å, b = 6.786 Å, c = 7.505 Å
α = 116.88°, β = 110.57°, γ = 90.00°
Element x y z (fractional)
In: 0.247 0.457 0.913
Bi: 0.175 0.209 0.418
Au: 0.000 0.207 0.000
Au: 0.505 0.326 0.231
Au: 0.000 0.793 0.000
Au: 0.495 0.674 0.769
Bi: 0.825 0.791 0.582
Au: 0.505 0.906 0.231
Au: 0.495 0.094 0.769
In: 0.753 0.543 0.087
Au: 0.791 0.304 0.607
Au: 0.209 0.696 0.393

Fermi-level density of states, states/eV per cell: 3.4
Total moment, μB/cell: 0.00
ΔH_f (0 K), meV/atom: 16
Excess energy over the best structure of this formula in the dataset, eV/atom: 0.0747
Space-group type: C2/m (12)
Raw total energy, eV/atom: -3.27


# Ba3Sr3Mg2Tl

Crystalline Ba3Sr3Mg2Tl at its relaxed geometry (PBE, the Alexandria database).

a = 5.499 Å, b = 9.323 Å, c = 9.323 Å
α = 120.00°, β = 90.00°, γ = 90.00°
Element x y z (fractional)
Ba: 0.500 0.000 0.751
Ba: 0.500 0.751 0.000
Sr: 0.000 0.000 0.406
Sr: 0.000 0.594 0.594
Mg: 0.500 0.667 0.333
Ba: 0.500 0.249 0.249
Mg: 0.500 0.333 0.667
Sr: 0.000 0.406 0.000
Tl: 0.000 0.000 0.000

Fermi-level density of states, states/eV per cell: 9.8
Total moment, μB/cell: 0.00
ΔH_f (0 K), meV/atom: -78
Space-group type: P-62m (189)
Raw total energy, eV/atom: -1.90


# Ac6In2CoI3

Crystalline Ac6In2CoI3 at its relaxed geometry (PBE, the Alexandria database).

a = 7.814 Å, b = 7.814 Å, c = 8.660 Å
α = 99.10°, β = 99.10°, γ = 113.10°
Element x y z (fractional)
Ac: 0.945 0.635 0.810
Ac: 0.365 0.055 0.190
Ac: 0.635 0.945 0.810
In: 0.634 0.366 0.000
I: 0.191 0.809 0.500
Ac: 0.055 0.365 0.190
I: 0.500 0.500 0.500
Ac: 0.803 0.803 0.231
In: 0.366 0.634 0.000
Ac: 0.197 0.197 0.769
I: 0.809 0.191 0.500
Co: 0.000 0.000 0.000

Fermi-level density of states, states/eV per cell: 9.5
Total moment, μB/cell: 0.00
Space-group type: C2/m (12)
Raw total energy, eV/atom: -4.11
Energy relative to the elements, uncorrected, eV/atom: -0.623


# Tl2ZnIr2

Crystalline Tl2ZnIr2 at its relaxed geometry (PBE, the Alexandria database).

a = 6.708 Å, b = 6.708 Å, c = 4.229 Å
α = 90.00°, β = 90.00°, γ = 90.00°
Element x y z (fractional)
Tl: 0.168 0.668 0.500
Zn: 0.500 0.500 0.000
Tl: 0.832 0.332 0.500
Tl: 0.332 0.168 0.500
Zn: 0.000 0.000 0.000
Ir: 0.859 0.641 0.000
Ir: 0.141 0.359 0.000
Ir: 0.359 0.859 0.000
Tl: 0.668 0.832 0.500
Ir: 0.641 0.141 0.000

Fermi-level density of states, states/eV per cell: 6.7
Total moment, μB/cell: 0.00
ΔH_f (0 K), meV/atom: 255
Space-group type: P4/mbm (127)
Raw total energy, eV/atom: -4.49